Record 1
An optimized crystal structure of HfTlAgS3. Source: OQMD, functional PBE-GGA.

POSCAR file:
```
HfTlAgS3
1.0
7.9835 0.0000 0.0000
0.0000 3.7867 0.0000
-3.3515 0.0000 9.3347
Ag Hf S Tl
2 2 6 2
Direct
0.5576 0.2500 0.1117 Ag
0.4424 0.7500 0.8883 Ag
0.8117 0.7500 0.3452 Hf
0.1883 0.2500 0.6548 Hf
0.7725 0.7500 0.0827 S
0.6077 0.2500 0.3727 S
0.0475 0.2500 0.3753 S
0.9525 0.7500 0.6247 S
0.3923 0.7500 0.6273 S
0.2275 0.2500 0.9173 S
0.2306 0.7500 0.2020 Tl
0.7694 0.2500 0.7980 Tl
```

Calculated values
For the total energy, the calculation gives -65.9 eV for the cell shown. The magnetic moment is 0.00 μB/f.u. The space-group type is No. 11.

Record 2
An optimized crystal structure of HfTlAgS3. Source: OQMD, functional PBE-GGA.

POSCAR file:
```
HfTlAgS3
1.0
-4.3647 7.5647 -5.7972
-2.8192 0.2485 2.4468
7.3024 9.8914 7.4093
Ag Hf S Tl
4 4 12 4
Direct
0.2546 0.2500 0.1707 Ag
0.7546 0.2500 0.3293 Ag
0.2454 0.7500 0.6707 Ag
0.7454 0.7500 0.8293 Ag
0.9770 0.7500 0.2456 Hf
0.4770 0.7500 0.2544 Hf
0.5230 0.2500 0.7456 Hf
0.0230 0.2500 0.7544 Hf
0.0276 0.2500 0.1274 S
0.4831 0.2500 0.1312 S
0.7543 0.7500 0.1976 S
0.2543 0.7500 0.3024 S
0.9831 0.2500 0.3688 S
0.5276 0.2500 0.3726 S
0.4724 0.7500 0.6274 S
0.0169 0.7500 0.6312 S
0.7457 0.2500 0.6976 S
0.2457 0.2500 0.8024 S
0.5169 0.7500 0.8688 S
0.9724 0.7500 0.8726 S
0.7585 0.2500 0.0257 Tl
0.2585 0.2500 0.4743 Tl
0.7415 0.7500 0.5257 Tl
0.2415 0.7500 0.9743 Tl
```

Calculated values
For the total energy, the calculation gives -131.3 eV for the cell shown. The magnetic moment is 0.01 μB/f.u. The space-group type is No. 62.

Record 3
An optimized crystal structure of HfTlAgS3. Source: OQMD, functional PBE-GGA.

POSCAR file:
```
HfTlAgS3
1.0
-0.6772 -3.6775 0.3648
-1.1182 -0.9670 -11.8241
12.0153 -2.3065 -0.9477
Ag Hf S Tl
4 4 12 4
Direct
0.7500 0.7549 0.1846 Ag
0.7500 0.2549 0.3154 Ag
0.2500 0.7451 0.6846 Ag
0.2500 0.2451 0.8154 Ag
0.2500 0.4597 0.1542 Hf
0.2500 0.9597 0.3458 Hf
0.7500 0.0403 0.6542 Hf
0.7500 0.5403 0.8458 Hf
0.7500 0.5836 0.0635 S
0.2500 0.2567 0.1616 S
0.7500 0.9751 0.2031 S
0.7500 0.4751 0.2969 S
0.2500 0.7567 0.3384 S
0.7500 0.0836 0.4365 S
0.2500 0.9164 0.5635 S
0.7500 0.2433 0.6616 S
0.2500 0.5249 0.7031 S
0.2500 0.0249 0.7969 S
0.7500 0.7433 0.8384 S
0.2500 0.4164 0.9365 S
0.7500 0.1495 0.0103 Tl
0.7500 0.6495 0.4897 Tl
0.2500 0.3505 0.5103 Tl
0.2500 0.8505 0.9897 Tl
```

Calculated values
For the total energy, the calculation gives -130.0 eV for the cell shown. The magnetic moment is 0.01 μB/f.u. The space-group type is No. 62.

Record 4
An optimized crystal structure of HfTlAgS3. Source: OQMD, functional PBE-GGA.

POSCAR file:
```
HfTlAgS3
1.0
-1.7059 13.8361 -3.0223
-3.5974 -0.1837 1.1894
3.0785 2.4976 9.6965
Ag Hf S Tl
4 4 12 4
Direct
0.4733 0.7500 0.0931 Ag
0.9733 0.7500 0.4069 Ag
0.0267 0.2500 0.5931 Ag
0.5267 0.2500 0.9069 Ag
0.9858 0.2500 0.1653 Hf
0.4858 0.2500 0.3347 Hf
0.5142 0.7500 0.6653 Hf
0.0142 0.7500 0.8347 Hf
0.0870 0.7500 0.0662 S
0.5940 0.2500 0.1470 S
0.8684 0.7500 0.2162 S
0.3684 0.7500 0.2838 S
0.0940 0.2500 0.3530 S
0.5870 0.7500 0.4338 S
0.4130 0.2500 0.5662 S
0.9060 0.7500 0.6470 S
0.6316 0.2500 0.7162 S
0.1316 0.2500 0.7838 S
0.4060 0.7500 0.8530 S
0.9130 0.2500 0.9338 S
0.2689 0.2500 0.0290 Tl
0.7689 0.2500 0.4710 Tl
0.2311 0.7500 0.5290 Tl
0.7311 0.7500 0.9710 Tl
```

Calculated values
For the total energy, the calculation gives -131.9 eV for the cell shown. The magnetic moment is 0.01 μB/f.u. The space-group type is No. 62.

Record 5
An optimized crystal structure of HfTlAgS3. Source: OQMD, functional PBE-GGA.

POSCAR file:
```
HfTlAgS3
1.0
7.3798 0.0000 0.0000
0.0000 4.0264 0.0000
0.0000 0.0000 17.1232
Ag Hf S Tl
4 4 12 4
Direct
0.5367 0.2500 0.1753 Ag
0.0367 0.2500 0.3247 Ag
0.9633 0.7500 0.6753 Ag
0.4633 0.7500 0.8247 Ag
0.2463 0.2500 0.0403 Hf
0.7463 0.2500 0.4597 Hf
0.2537 0.7500 0.5403 Hf
0.7537 0.7500 0.9597 Hf
0.8760 0.2500 0.0396 S
0.4890 0.7500 0.0717 S
0.1853 0.2500 0.1834 S
0.6853 0.2500 0.3166 S
0.9890 0.7500 0.4283 S
0.3760 0.2500 0.4604 S
0.6240 0.7500 0.5396 S
0.0110 0.2500 0.5717 S
0.3147 0.7500 0.6834 S
0.8147 0.7500 0.8166 S
0.5110 0.2500 0.9283 S
0.1240 0.7500 0.9604 S
0.8756 0.7500 0.1875 Tl
0.3756 0.7500 0.3125 Tl
0.6244 0.2500 0.6875 Tl
0.1244 0.2500 0.8125 Tl
```

Calculated values
For the total energy, the calculation gives -128.9 eV for the cell shown. The magnetic moment is 0.00 μB/f.u. The space-group type is No. 62.

Record 6
An optimized crystal structure of HfAg2WS6. Source: OQMD, functional PBE-GGA.

POSCAR file:
```
HfAg2WS6
1.0
5.9005 -3.4067 0.0000
5.9005 3.4067 0.0000
-3.9337 0.0000 5.5631
Ag Hf S W
2 1 6 1
Direct
0.7500 0.7500 0.2500 Ag
0.2500 0.2500 0.7500 Ag
0.5000 0.5000 0.5000 Hf
0.7559 0.2441 0.2441 S
0.2441 0.7559 0.2441 S
0.2441 0.2441 0.2441 S
0.7559 0.7559 0.7559 S
0.7559 0.2441 0.7559 S
0.2441 0.7559 0.7559 S
0.0000 0.0000 0.0000 W
```

Calculated values
For the total energy, the calculation gives -55.3 eV for the cell shown. The magnetic moment is 0.00 μB/f.u. The space-group type is No. 225.

Record 7
An optimized crystal structure of HfAgSb2. Source: OQMD, functional PBE-GGA.

POSCAR file:
```
HfAgSb2
1.0
1.0478 -4.6595 -1.7053
-3.7159 -3.4160 -0.4897
-1.5481 -1.4184 -4.6161
Ag Hf Sb
1 1 2
Direct
0.5000 0.5000 0.5000 Ag
0.7500 0.7500 0.7500 Hf
0.0000 0.0000 0.0000 Sb
0.2500 0.2500 0.2500 Sb
```

Calculated values
For the total energy, the calculation gives -20.1 eV for the cell shown. The magnetic moment is 0.00 μB/f.u. The space-group type is No. 216.

Record 8
An optimized crystal structure of HfAg2Sb. Source: OQMD, functional PBE-GGA.

POSCAR file:
```
HfAg2Sb
1.0
0.0000 3.4315 3.4315
3.4315 0.0000 3.4315
3.4315 3.4315 0.0000
Ag Hf Sb
2 1 1
Direct
0.0000 0.0000 0.0000 Ag
0.7500 0.7500 0.7500 Ag
0.2500 0.2500 0.2500 Hf
0.5000 0.5000 0.5000 Sb
```

Calculated values
For the total energy, the calculation gives -19.5 eV for the cell shown. The magnetic moment is 0.34 μB/f.u. The space-group type is No. 216.

Record 9
An optimized crystal structure of Hf3AgSb5. Source: OQMD, functional PBE-GGA.

POSCAR file:
```
Hf3AgSb5
1.0
-1.1803 5.6779 -1.4903
-1.1899 -1.9520 5.5341
7.4183 2.1608 2.3571
Ag Hf Sb
1 3 5
Direct
0.0000 0.0000 0.0000 Ag
0.5000 0.0000 0.5000 Hf
0.0000 0.5000 0.5000 Hf
0.5000 0.5000 0.5000 Hf
0.6667 0.3333 0.1989 Sb
0.3333 0.6667 0.1989 Sb
0.0000 0.0000 0.5000 Sb
0.6667 0.3333 0.8011 Sb
0.3333 0.6667 0.8011 Sb
```

Calculated values
For the total energy, the calculation gives -53.1 eV for the cell shown. The magnetic moment is 0.01 μB/f.u. The space-group type is No. 191.

Record 10
An optimized crystal structure of HfSc2Si4Ag4. Source: OQMD, functional PBE-GGA.

POSCAR file:
```
HfSc2Si4Ag4
1.0
0.3234 4.6525 6.3402
-5.5950 5.4315 1.0687
2.0910 -7.5585 -0.6669
Ag Hf Sc Si
4 1 2 4
Direct
0.4677 0.1706 0.2971 Ag
0.1265 0.8294 0.2971 Ag
0.5323 0.8294 0.7029 Ag
0.8735 0.1706 0.7029 Ag
0.5000 0.5000 0.0000 Hf
0.8801 0.3801 0.5000 Sc
0.1199 0.6199 0.5000 Sc
0.2876 0.2876 0.0000 Si
0.7124 0.7124 0.0000 Si
0.1808 0.0000 0.1808 Si
0.8192 0.0000 0.8192 Si
```

Calculated values
For the total energy, the calculation gives -59.1 eV for the cell shown. The magnetic moment is 0.00 μB/f.u. The space-group type is No. 71.

Record 11
An optimized crystal structure of HfScAg2Sn2. Source: OQMD, functional PBE-GGA.

POSCAR file:
```
HfScAg2Sn2
1.0
-3.7920 1.6516 -2.1634
1.2984 -4.4391 -0.6293
-3.7565 -1.8338 5.1844
Ag Hf Sc Sn
2 1 1 2
Direct
0.3333 0.6667 0.0442 Ag
0.6667 0.3333 0.5360 Ag
0.0000 0.0000 0.2381 Hf
0.0000 0.0000 0.7370 Sc
0.3333 0.6667 0.4737 Sn
0.6667 0.3333 0.9711 Sn
```

Calculated values
For the total energy, the calculation gives -31.7 eV for the cell shown. The magnetic moment is 0.01 μB/f.u. The space-group type is No. 156.

Record 12
An optimized crystal structure of HfTlAgTe2Se. Source: OQMD, functional PBE-GGA.

POSCAR file:
```
HfTlAgTe2Se
1.0
2.0476 4.7408 -5.9868
-5.5246 -2.8143 4.9060
2.1636 7.7741 6.8961
Ag Hf Se Te Tl
2 2 2 4 2
Direct
0.4579 0.5421 0.2500 Ag
0.5421 0.4579 0.7500 Ag
0.0000 0.0000 0.0000 Hf
0.0000 0.0000 0.5000 Hf
0.0651 0.9349 0.2500 Se
0.9349 0.0651 0.7500 Se
0.3644 0.6356 0.0310 Te
0.3644 0.6356 0.4690 Te
0.6356 0.3644 0.5310 Te
0.6356 0.3644 0.9690 Te
0.7488 0.2512 0.2500 Tl
0.2512 0.7488 0.7500 Tl
```

Calculated values
For the total energy, the calculation gives -56.8 eV for the cell shown. The magnetic moment is 0.01 μB/f.u. The space-group type is No. 63.